Model P:
LaSmYSc PBE relaxed; spin magnetization = 0.01 μB per formula unit
1.0
0.0000 3.9991 3.9991
3.9991 0.0000 3.9991
3.9991 3.9991 0.0000
La Sm Y Sc
1 1 1 1
Direct
0.0000 0.0000 0.0000
0.5000 0.5000 0.5000
0.7500 0.7500 0.7500
0.2500 0.2500 0.2500

Model Q:
LaSmYSc PBE relaxed; spin magnetization = 0.00 μB per formula unit
1.0
6.1286 -2.8708 0.0000
6.1286 2.8708 0.0000
-1.1980 0.0000 3.6513
La Sm Y Sc
1 1 1 1
Direct
0.0000 0.0000 0.0000
0.7284 0.7284 0.2142
0.2675 0.2675 0.7543
0.4970 0.4970 0.4882

Ranked by calculated energy, most stable first: model Q, model P.

Model P:
LaScSn PBE relaxed; spin magnetization = 1.23 μB per formula unit
1.0
4.5820 0.0000 0.0000
0.0000 4.5820 0.0000
0.0000 0.0000 8.4136
La Sc Sn
2 2 2
Direct
0.2500 0.2500 0.1488
0.7500 0.7500 0.8512
0.2500 0.7500 0.5000
0.7500 0.2500 0.5000
0.2500 0.2500 0.7395
0.7500 0.7500 0.2605

Model Q:
LaScSn PBE relaxed; spin magnetization = 0.00 μB per formula unit
1.0
-2.0135 2.0135 5.1643
2.0135 -2.0135 5.1643
2.0135 2.0135 -5.1643
La Sc Sn
1 1 1
Direct
0.0000 0.0000 0.0000
0.2952 0.2952 0.0000
0.6793 0.6793 0.0000

Ranked by calculated energy, most stable first: model P, model Q.

Model P:
LaScSn PBE relaxed; spin magnetization = 0.00 μB per formula unit
1.0
2.1695 -8.0654 0.0000
2.1695 8.0654 0.0000
0.0000 0.0000 4.7772
La Sc Sn
2 2 2
Direct
0.0734 0.9266 0.7500
0.9266 0.0734 0.2500
0.2544 0.7456 0.2500
0.7456 0.2544 0.7500
0.3788 0.6212 0.7500
0.6212 0.3788 0.2500

Model Q:
LaScSn PBE relaxed; spin magnetization = 0.00 μB per formula unit
1.0
4.9412 0.0000 0.0000
-2.4706 4.2792 0.0000
0.0000 0.0000 4.2337
La Sc Sn
1 1 1
Direct
0.0000 0.0000 0.0000
0.6667 0.3333 0.5000
0.3333 0.6667 0.5000

Ranked by calculated energy, most stable first: model P, model Q.

Model P:
SrLa3Sc PBE relaxed; spin magnetization = 0.41 μB per formula unit
1.0
5.9462 0.0000 0.0000
0.0000 5.9462 0.0000
0.0000 0.0000 5.9462
Sr La Sc
1 3 1
Direct
0.0000 0.0000 0.0000
0.0000 0.5000 0.5000
0.5000 0.0000 0.5000
0.5000 0.5000 0.0000
0.5000 0.5000 0.5000

Model Q:
SrLa3Sc PBE relaxed; spin magnetization = 0.09 μB per formula unit
1.0
5.8828 0.0000 0.0000
0.0000 5.8828 0.0000
0.0000 0.0000 5.8828
Sr La Sc
1 3 1
Direct
0.0000 0.0000 0.0000
0.0000 0.0000 0.5000
0.0000 0.5000 0.0000
0.5000 0.0000 0.0000
0.5000 0.5000 0.5000

Ranked by calculated energy, most stable first: model P, model Q.

Model P:
Sr2LaSc2 PBE relaxed; spin magnetization = 0.00 μB per formula unit
1.0
-2.0323 2.0323 12.0541
2.0323 -2.0323 12.0541
2.0323 2.0323 -12.0541
Sr La Sc
2 1 2
Direct
0.1192 0.1192 0.0000
0.8808 0.8808 0.0000
0.5000 0.5000 0.0000
0.2500 0.7500 0.5000
0.7500 0.2500 0.5000

Model Q:
Sr2LaSc2 PBE relaxed; spin magnetization = 1.27 μB per formula unit
1.0
-2.4287 2.4287 8.2198
2.4287 -2.4287 8.2198
2.4287 2.4287 -8.2198
Sr La Sc
2 1 2
Direct
0.2500 0.7500 0.5000
0.7500 0.2500 0.5000
0.0000 0.0000 0.0000
0.4169 0.4169 0.0000
0.5831 0.5831 0.0000

Ranked by calculated energy, most stable first: model P, model Q.

Model P:
Sr2LaSc2 PBE relaxed; spin magnetization = 0.82 μB per formula unit
1.0
9.8432 0.0000 0.0000
0.0000 9.8432 0.0000
0.0000 0.0000 3.8523
Sr La Sc
4 2 4
Direct
0.1808 0.3192 0.0000
0.3192 0.8192 0.0000
0.6808 0.1808 0.0000
0.8192 0.6808 0.0000
0.0000 0.0000 0.5000
0.5000 0.5000 0.5000
0.1110 0.6110 0.5000
0.3890 0.1110 0.5000
0.6110 0.8890 0.5000
0.8890 0.3890 0.5000

Model Q:
Sr2LaSc2 PBE relaxed; spin magnetization = 0.00 μB per formula unit
1.0
9.5876 0.0000 0.0000
0.0000 9.5876 0.0000
0.0000 0.0000 3.8852
Sr La Sc
4 2 4
Direct
0.1330 0.3670 0.0000
0.3670 0.8670 0.0000
0.6330 0.1330 0.0000
0.8670 0.6330 0.0000
0.0000 0.0000 0.0000
0.5000 0.5000 0.0000
0.1667 0.6667 0.5000
0.3333 0.1667 0.5000
0.6667 0.8333 0.5000
0.8333 0.3333 0.5000

Ranked by calculated energy, most stable first: model P, model Q.

Model P:
LaScTa3 PBE relaxed; spin magnetization = 0.00 μB per formula unit
1.0
4.9593 0.0000 0.0000
0.0000 4.9593 0.0000
0.0000 0.0000 4.9593
La Sc Ta
1 1 3
Direct
0.0000 0.0000 0.0000
0.5000 0.5000 0.5000
0.0000 0.0000 0.5000
0.0000 0.5000 0.0000
0.5000 0.0000 0.0000

Model Q:
LaScTa3 PBE relaxed; spin magnetization = 0.00 μB per formula unit
1.0
4.9479 0.0000 0.0000
0.0000 4.9479 0.0000
0.0000 0.0000 4.9479
La Sc Ta
1 1 3
Direct
0.0000 0.0000 0.0000
0.5000 0.5000 0.5000
0.0000 0.5000 0.5000
0.5000 0.0000 0.5000
0.5000 0.5000 0.0000

Ranked by calculated energy, most stable first: model Q, model P.

Model P:
LaSc3Ta PBE relaxed; spin magnetization = 0.00 μB per formula unit
1.0
5.2486 0.0000 0.0000
0.0000 5.2486 0.0000
0.0000 0.0000 5.2486
La Sc Ta
1 3 1
Direct
0.0000 0.0000 0.0000
0.0000 0.5000 0.5000
0.5000 0.0000 0.5000
0.5000 0.5000 0.0000
0.5000 0.5000 0.5000

Model Q:
LaSc3Ta PBE relaxed; spin magnetization = 0.00 μB per formula unit
1.0
5.0427 0.0000 0.0000
0.0000 5.0427 0.0000
0.0000 0.0000 5.0427
La Sc Ta
1 3 1
Direct
0.0000 0.0000 0.0000
0.0000 0.0000 0.5000
0.0000 0.5000 0.0000
0.5000 0.0000 0.0000
0.5000 0.5000 0.5000

Ranked by calculated energy, most stable first: model P, model Q.

Model P:
La2TbSc PBE relaxed; spin magnetization = 0.00 μB per formula unit
1.0
3.7064 0.0000 0.0000
0.0000 3.7064 0.0000
0.0000 0.0000 9.4492
La Tb Sc
2 1 1
Direct
0.0000 0.0000 0.2373
0.0000 0.0000 0.7627
0.5000 0.5000 0.5000
0.5000 0.5000 0.0000

Model Q:
La2TbSc PBE relaxed; spin magnetization = 0.00 μB per formula unit
1.0
5.1195 0.0000 0.0000
0.0000 5.1195 0.0000
0.0000 0.0000 4.9193
La Tb Sc
2 1 1
Direct
0.0000 0.5000 0.0000
0.5000 0.0000 0.0000
0.0000 0.0000 0.5000
0.5000 0.5000 0.5000

Ranked by calculated energy, most stable first: model P, model Q.

Model P:
La2TbSc PBE relaxed; spin magnetization = 0.00 μB per formula unit
1.0
1.8002 1.0394 11.4052
-1.8002 1.0394 11.4052
0.0000 -2.0787 11.4052
La Tb Sc
2 1 1
Direct
0.2466 0.2466 0.2466
0.7534 0.7534 0.7534
0.0000 0.0000 0.0000
0.5000 0.5000 0.5000

Model Q:
La2TbSc PBE relaxed; spin magnetization = 0.01 μB per formula unit
1.0
0.0000 4.0293 4.0293
4.0293 0.0000 4.0293
4.0293 4.0293 0.0000
La Tb Sc
2 1 1
Direct
0.2500 0.2500 0.2500
0.7500 0.7500 0.7500
0.0000 0.0000 0.0000
0.5000 0.5000 0.5000

Ranked by calculated energy, most stable first: model P, model Q.

Model P:
La2TbSc PBE relaxed; spin magnetization = 0.00 μB per formula unit
1.0
1.7362 1.0024 12.3657
-1.7362 1.0024 12.3657
0.0000 -2.0048 12.3657
La Tb Sc
2 1 1
Direct
0.0895 0.0895 0.0895
0.9105 0.9105 0.9105
0.0000 0.0000 0.0000
0.5000 0.5000 0.5000

Model Q:
La2TbSc PBE relaxed; spin magnetization = 0.00 μB per formula unit
1.0
1.7900 1.0335 11.5916
-1.7900 1.0335 11.5916
0.0000 -2.0669 11.5916
La Tb Sc
2 1 1
Direct
0.0000 0.0000 0.0000
0.1596 0.1596 0.1596
0.5777 0.5777 0.5777
0.7468 0.7468 0.7468

Model R:
La2TbSc PBE relaxed; spin magnetization = 0.00 μB per formula unit
1.0
3.6512 -4.8212 0.0000
3.6512 4.8212 0.0000
0.0000 0.0000 3.6762
La Tb Sc
2 1 1
Direct
0.0000 0.5000 0.0000
0.5000 0.0000 0.0000
0.0000 0.0000 0.5000
0.5000 0.5000 0.5000

Ranked by calculated energy, most stable first: model R, model Q, model P.

Model P:
LaTbSc PBE relaxed; spin magnetization = 0.00 μB per formula unit
1.0
-1.7832 1.7832 7.3148
1.7832 -1.7832 7.3148
1.7832 1.7832 -7.3148
La Tb Sc
1 1 1
Direct
0.0000 0.0000 0.0000
0.6803 0.6803 0.0000
0.3359 0.3359 0.0000

Model Q:
LaTbSc PBE relaxed; spin magnetization = 0.00 μB per formula unit
1.0
5.5805 0.0000 0.0000
-2.7903 4.8329 0.0000
0.0000 0.0000 3.4430
La Tb Sc
1 1 1
Direct
0.0000 0.0000 0.0000
0.3333 0.6667 0.5008
0.6667 0.3333 0.4987

Ranked by calculated energy, most stable first: model P, model Q.